# 1
This record from the Alexandria database describes a relaxed CrPAu2N crystal. The functional is PBE-GGA.

a = 4.632 Å, b = 4.632 Å, c = 3.721 Å
α = 90.00°, β = 90.00°, γ = 90.00°
Space group P4/mmm (No. 123)
Inequivalent atoms, fractional coordinates:
Cr 0.000 0.000 0.000 x1
P 0.500 0.500 0.000 x1
Au 0.000 0.500 0.500 x2
N 0.000 0.000 0.500 x1



# 2
This record from the Alexandria database describes a relaxed CrPAuN2 crystal. The functional is PBE-GGA.

a = 3.614 Å, b = 3.614 Å, c = 5.568 Å
α = 90.00°, β = 90.00°, γ = 90.00°
Space group P4/mmm (No. 123)
Inequivalent atoms, fractional coordinates:
Cr 0.000 0.000 0.000 x1
P 0.500 0.500 0.500 x1
Au 0.000 0.000 0.500 x1
N 0.000 0.500 0.000 x2



# 3
This record from the Alexandria database describes a relaxed CrPd2AuN crystal. The functional is PBE-GGA.

a = 4.317 Å, b = 4.317 Å, c = 3.798 Å
α = 90.00°, β = 90.00°, γ = 90.00°
Space group P4/mmm (No. 123)
Inequivalent atoms, fractional coordinates:
Cr 0.000 0.000 0.000 x1
Pd 0.000 0.500 0.500 x2
Au 0.500 0.500 0.000 x1
N 0.000 0.000 0.500 x1



# 4
This record from the Alexandria database describes a relaxed Cr2RhAuN crystal. The functional is PBE-GGA.

a = 3.873 Å, b = 3.873 Å, c = 4.142 Å
α = 90.00°, β = 90.00°, γ = 90.00°
Space group P4/mmm (No. 123)
Inequivalent atoms, fractional coordinates:
Cr 0.000 0.500 0.000 x2
Rh 0.000 0.000 0.500 x1
Au 0.500 0.500 0.500 x1
N 0.000 0.000 0.000 x1



# 5
This record from the Alexandria database describes a relaxed Cr2RuAuN crystal. The functional is PBE-GGA.

a = 3.892 Å, b = 3.892 Å, c = 4.047 Å
α = 90.00°, β = 90.00°, γ = 90.00°
Space group P4/mmm (No. 123)
Inequivalent atoms, fractional coordinates:
Cr 0.000 0.500 0.000 x2
Ru 0.000 0.000 0.500 x1
Au 0.500 0.500 0.500 x1
N 0.000 0.000 0.000 x1



# 6
This record from the Alexandria database describes a relaxed CrAuSe2N crystal. The functional is PBE-GGA.

a = 5.302 Å, b = 5.302 Å, c = 3.757 Å
α = 90.00°, β = 90.00°, γ = 90.00°
Space group P4/mmm (No. 123)
Inequivalent atoms, fractional coordinates:
Cr 0.000 0.000 0.000 x1
Au 0.500 0.500 0.500 x1
Se 0.000 0.500 0.500 x2
N 0.500 0.500 0.000 x1

Summary:
The offset from the most stable computed form is 3.84 eV per formula unit.



# 7
This record from the Alexandria database describes a relaxed CrAuSe2N crystal. The functional is PBE-GGA.

a = 4.928 Å, b = 4.928 Å, c = 3.514 Å
α = 90.00°, β = 90.00°, γ = 90.00°
Space group P4/mmm (No. 123)
Inequivalent atoms, fractional coordinates:
Cr 0.000 0.000 0.000 x1
Au 0.500 0.500 0.500 x1
Se 0.000 0.500 0.000 x2
N 0.000 0.000 0.500 x1

Summary:
The offset from the most stable computed form is 0.00 eV per formula unit.



# 8
This record from the Alexandria database describes a relaxed CrSi2AuN crystal. The functional is PBE-GGA.

a = 4.508 Å, b = 4.508 Å, c = 4.820 Å
α = 90.00°, β = 90.00°, γ = 90.00°
Space group P4/mmm (No. 123)
Inequivalent atoms, fractional coordinates:
Cr 0.000 0.000 0.000 x1
Si 0.000 0.500 0.000 x2
Au 0.000 0.000 0.500 x1
N 0.500 0.500 0.500 x1



The records above give, respectively, formation energy (no corrections) values of 3.1 3.9 -0.1 0.0 0.1 5.5 1.6 8.1 eV/f.u..
The records above give, respectively, calculated volume values of 15.97 14.54 14.16 12.43 12.26 21.12 17.07 19.59 Å³/atom.
The records above give, respectively, magnetization values of 2.7 0.6 2.8 0.0 0.0 3.8 0.0 3.6 μB per formula unit.